# CePdPb2 GGA-PBE relaxed
data_CePdPb2
_cell_length_a 4.669
_cell_length_b 4.669
_cell_length_c 4.646
_cell_angle_alpha 90.00
_cell_angle_beta 90.00
_cell_angle_gamma 90.00
_space_group_name_H-M_alt 'P 4/m m m'
_space_group_IT_number 123
_space_group_name_Hall '-P 4 2'
loop_
_atom_site_label
_atom_site_fract_x
_atom_site_fract_y
_atom_site_fract_z
_atom_site_occupancy
Ce1 0.000 0.000 0.000 1
Pd1 0.500 0.500 0.000 1
Pb1 0.000 0.500 0.500 1
# * V: 101.3 Å³ per cell
# * total DFT energy (no corrections): -4.993 eV/atom
# * relative energy among the computed polymorphs: 131 meV/atom
# * Fermi-level density of states: 6.675 states/eV/cell
# * energy of formation from the pure elements: -357 meV per atom

# CePd6Pb GGA-PBE relaxed
data_CePd6Pb
_cell_length_a 4.139
_cell_length_b 4.139
_cell_length_c 8.248
_cell_angle_alpha 90.00
_cell_angle_beta 90.00
_cell_angle_gamma 90.00
_space_group_name_H-M_alt 'P 4/m m m'
_space_group_IT_number 123
_space_group_name_Hall '-P 4 2'
loop_
_atom_site_label
_atom_site_fract_x
_atom_site_fract_y
_atom_site_fract_z
_atom_site_occupancy
Ce1 0.000 0.000 0.000 1
Pd1 0.000 0.500 0.247 1
Pd2 0.500 0.500 0.000 1
Pd3 0.500 0.500 0.500 1
Pb1 0.000 0.000 0.500 1
# * V: 141.3 Å³ per cell
# * total DFT energy (no corrections): -5.655 eV/atom
# * relative energy among the computed polymorphs: 0 meV/atom
# * Fermi-level density of states: 3.528 states/eV/cell
# * energy of formation from the pure elements: -555 meV per atom

# CePd2Pb2 GGA-PBE relaxed
data_CePd2Pb2
_cell_length_a 4.877
_cell_length_b 5.006
_cell_length_c 10.075
_cell_angle_alpha 90.00
_cell_angle_beta 90.01
_cell_angle_gamma 90.00
_space_group_name_H-M_alt 'P 1 21/m 1'
_space_group_IT_number 11
_space_group_name_Hall '-P 2yb'
loop_
_atom_site_label
_atom_site_fract_x
_atom_site_fract_y
_atom_site_fract_z
_atom_site_occupancy
Ce1 0.250 0.250 0.177 1
Pd1 0.250 0.750 0.328 1
Pd2 0.251 0.750 0.985 1
Pb1 0.250 0.250 0.513 1
Pb2 0.250 0.250 0.837 1
# * V: 246.0 Å³ per cell
# * total DFT energy (no corrections): -5.231 eV/atom
# * Fermi-level density of states: 11.891 states/eV/cell
# * energy of formation from the pure elements: -484 meV per atom

# Ce11Pd4Pb9 GGA-PBE relaxed
data_Ce11Pd4Pb9
_cell_length_a 14.238
_cell_length_b 21.455
_cell_length_c 4.280
_cell_angle_alpha 90.00
_cell_angle_beta 90.00
_cell_angle_gamma 90.00
_space_group_name_H-M_alt 'C m m m'
_space_group_IT_number 65
_space_group_name_Hall '-C 2 2'
loop_
_atom_site_label
_atom_site_fract_x
_atom_site_fract_y
_atom_site_fract_z
_atom_site_occupancy
Ce1 0.000 0.000 0.000 1
Ce2 0.000 0.164 0.000 1
Ce3 0.000 0.370 0.000 1
Ce4 0.194 0.500 0.000 1
Ce5 0.241 0.170 0.000 1
Pd1 0.152 0.400 0.500 1
Pb1 0.000 0.500 0.500 1
Pb2 0.112 0.262 0.500 1
Pb3 0.140 0.075 0.500 1
# * V: 1307.3 Å³ per cell
# * total DFT energy (no corrections): -5.499 eV/atom
# * Fermi-level density of states: 133.675 states/eV/cell
# * energy of formation from the pure elements: -523 meV per atom

# CePd12Pb3 GGA-PBE relaxed
data_CePd12Pb3
_cell_length_a 4.122
_cell_length_b 4.122
_cell_length_c 16.478
_cell_angle_alpha 90.00
_cell_angle_beta 90.00
_cell_angle_gamma 90.00
_space_group_name_H-M_alt 'P 4/m m m'
_space_group_IT_number 123
_space_group_name_Hall '-P 4 2'
loop_
_atom_site_label
_atom_site_fract_x
_atom_site_fract_y
_atom_site_fract_z
_atom_site_occupancy
Ce1 0.000 0.000 0.000 1
Pd1 0.000 0.500 0.124 1
Pd2 0.000 0.500 0.376 1
Pd3 0.500 0.500 0.000 1
Pd4 0.500 0.500 0.251 1
Pd5 0.500 0.500 0.500 1
Pb1 0.000 0.000 0.252 1
Pb2 0.000 0.000 0.500 1
# * V: 280.0 Å³ per cell
# * total DFT energy (no corrections): -5.388 eV/atom
# * Fermi-level density of states: 4.780 states/eV/cell
# * energy of formation from the pure elements: -427 meV per atom

# Ce4PdPb GGA-PBE relaxed
data_Ce4PdPb
_cell_length_a 8.046
_cell_length_b 14.528
_cell_length_c 5.909
_cell_angle_alpha 90.00
_cell_angle_beta 112.34
_cell_angle_gamma 90.00
_space_group_name_H-M_alt 'C 1 2/c 1'
_space_group_IT_number 15
_space_group_name_Hall '-C 2yc'
loop_
_atom_site_label
_atom_site_fract_x
_atom_site_fract_y
_atom_site_fract_z
_atom_site_occupancy
Ce1 0.077 0.196 0.081 1
Ce2 0.200 0.414 0.347 1
Pd1 0.000 0.012 0.750 1
Pb1 0.000 0.383 0.750 1
# * V: 638.9 Å³ per cell
# * total DFT energy (no corrections): -5.758 eV/atom
# * Fermi-level density of states: 64.528 states/eV/cell
# * energy of formation from the pure elements: -318 meV per atom

# CePmPdPb GGA-PBE relaxed
data_CePmPdPb
_cell_length_a 7.567
_cell_length_b 7.567
_cell_length_c 7.567
_cell_angle_alpha 90.00
_cell_angle_beta 90.00
_cell_angle_gamma 90.00
_space_group_name_H-M_alt 'F -4 3 m'
_space_group_IT_number 216
_space_group_name_Hall 'F -4 2 3'
loop_
_atom_site_label
_atom_site_fract_x
_atom_site_fract_y
_atom_site_fract_z
_atom_site_occupancy
Ce1 0.000 0.000 0.000 1
Pm1 0.000 0.000 0.500 1
Pd1 0.250 0.250 0.750 1
Pb1 0.250 0.250 0.250 1
# * V: 433.3 Å³ per cell
# * total DFT energy (no corrections): -5.379 eV/atom
# * Fermi-level density of states: 36.481 states/eV/cell
# * energy of formation from the pure elements: -482 meV per atom

# CePuPdPb GGA-PBE relaxed
data_CePuPdPb
_cell_length_a 7.490
_cell_length_b 7.490
_cell_length_c 7.490
_cell_angle_alpha 90.00
_cell_angle_beta 90.00
_cell_angle_gamma 90.00
_space_group_name_H-M_alt 'F -4 3 m'
_space_group_IT_number 216
_space_group_name_Hall 'F -4 2 3'
loop_
_atom_site_label
_atom_site_fract_x
_atom_site_fract_y
_atom_site_fract_z
_atom_site_occupancy
Ce1 0.000 0.000 0.000 1
Pu1 0.000 0.000 0.500 1
Pd1 0.250 0.250 0.250 1
Pb1 0.250 0.250 0.750 1
# * V: 420.2 Å³ per cell
# * total DFT energy (no corrections): -7.571 eV/atom
# * Fermi-level density of states: 61.071 states/eV/cell
# * energy of formation from the pure elements: -279 meV per atom

# CePdPbS3 GGA-PBE relaxed
data_CePdPbS3
_cell_length_a 8.319
_cell_length_b 4.050
_cell_length_c 8.844
_cell_angle_alpha 90.00
_cell_angle_beta 103.46
_cell_angle_gamma 90.00
_space_group_name_H-M_alt 'P 1 21/m 1'
_space_group_IT_number 11
_space_group_name_Hall '-P 2yb'
loop_
_atom_site_label
_atom_site_fract_x
_atom_site_fract_y
_atom_site_fract_z
_atom_site_occupancy
Ce1 0.175 0.250 0.178 1
Pd1 0.387 0.750 0.455 1
Pb1 0.327 0.750 0.769 1
S1 0.066 0.250 0.850 1
S2 0.247 0.250 0.490 1
S3 0.397 0.750 0.149 1
# * formation energy without anion corrections: -1.071 eV/atom
# * V: 289.8 Å³ per cell
# * total DFT energy (no corrections): -5.607 eV/atom
# * Fermi-level density of states: 8.534 states/eV/cell

# SrCePdPb GGA-PBE relaxed
data_SrCePdPb
_cell_length_a 7.692
_cell_length_b 7.692
_cell_length_c 7.692
_cell_angle_alpha 90.00
_cell_angle_beta 90.00
_cell_angle_gamma 90.00
_space_group_name_H-M_alt 'F -4 3 m'
_space_group_IT_number 216
_space_group_name_Hall 'F -4 2 3'
loop_
_atom_site_label
_atom_site_fract_x
_atom_site_fract_y
_atom_site_fract_z
_atom_site_occupancy
Sr1 0.000 0.000 0.000 1
Ce1 0.000 0.000 0.500 1
Pd1 0.250 0.250 0.250 1
Pb1 0.250 0.250 0.750 1
# * V: 455.1 Å³ per cell
# * total DFT energy (no corrections): -4.557 eV/atom
# * Fermi-level density of states: 31.178 states/eV/cell
# * energy of formation from the pure elements: -428 meV per atom

# Sr2CePd6Pb GGA-PBE relaxed
data_Sr2CePd6Pb
_cell_length_a 10.341
_cell_length_b 10.341
_cell_length_c 10.341
_cell_angle_alpha 90.00
_cell_angle_beta 90.00
_cell_angle_gamma 90.00
_space_group_name_H-M_alt 'F m -3 m'
_space_group_IT_number 225
_space_group_name_Hall '-F 4 2 3'
loop_
_atom_site_label
_atom_site_fract_x
_atom_site_fract_y
_atom_site_fract_z
_atom_site_occupancy
Sr1 0.250 0.250 0.250 1
Ce1 0.000 0.000 0.000 1
Pd1 0.000 0.000 0.244 1
Pb1 0.000 0.000 0.500 1
# * V: 1105.9 Å³ per cell
# * total DFT energy (no corrections): -4.524 eV/atom
# * Fermi-level density of states: 28.227 states/eV/cell
# * energy of formation from the pure elements: -108 meV per atom

# CeTmPdPb GGA-PBE relaxed
data_CeTmPdPb
_cell_length_a 7.437
_cell_length_b 7.437
_cell_length_c 7.437
_cell_angle_alpha 90.00
_cell_angle_beta 90.00
_cell_angle_gamma 90.00
_space_group_name_H-M_alt 'F -4 3 m'
_space_group_IT_number 216
_space_group_name_Hall 'F -4 2 3'
loop_
_atom_site_label
_atom_site_fract_x
_atom_site_fract_y
_atom_site_fract_z
_atom_site_occupancy
Ce1 0.000 0.000 0.000 1
Tm1 0.000 0.000 0.500 1
Pd1 0.250 0.250 0.250 1
Pb1 0.250 0.250 0.750 1
# * V: 411.4 Å³ per cell
# * total DFT energy (no corrections): -5.320 eV/atom
# * Fermi-level density of states: 36.185 states/eV/cell
# * energy of formation from the pure elements: -493 meV per atom

| no. | mass density (g/cm³) |
| --- | --- |
| 1 | 10.84 |
| 2 | 11.59 |
| 3 | 10.36 |
| 4 | 9.73 |
| 5 | 12.09 |
| 6 | 9.09 |
| 7 | 9.18 |
| 8 | 11.03 |
| 9 | 6.30 |
| 10 | 7.90 |
| 11 | 6.97 |
| 12 | 10.05 |